# KRb2ZnCd

A relaxed structure of KRb2ZnCd (PBE, Alexandria via LeMat-Bulk).

Summary:
* excess energy over the best structure of this formula in the dataset: 0.0265 eV/atom

Lattice parameters (Å, degrees): 7.2947 7.2947 5.2179 90.00 90.00 90.00
Element x y z (fractional)
K 0.0000 0.0000 0.0000
Rb 0.0000 0.5000 0.5000
Rb 0.5000 0.0000 0.5000
Zn 0.5000 0.5000 0.0000
Cd 0.5000 0.5000 0.5000

***

# K2RbZnCd

A relaxed structure of K2RbZnCd (PBE, Alexandria via LeMat-Bulk).

Summary:
* excess energy over the best structure of this formula in the dataset: 0.0274 eV/atom

Lattice parameters (Å, degrees): 6.9564 6.9564 5.2239 90.00 90.00 90.00
Element x y z (fractional)
K 0.0000 0.5000 0.0000
K 0.5000 0.0000 0.0000
Rb 0.0000 0.0000 0.5000
Zn 0.5000 0.5000 0.5000
Cd 0.5000 0.5000 0.0000

***

# K2RbZnCd

A relaxed structure of K2RbZnCd (PBE, Alexandria via LeMat-Bulk).

Summary:
* excess energy over the best structure of this formula in the dataset: 0.0000 eV/atom

Lattice parameters (Å, degrees): 6.8011 6.8011 5.2342 90.00 90.00 90.00
Element x y z (fractional)
K 0.0000 0.5000 0.0000
K 0.5000 0.0000 0.0000
Rb 0.0000 0.0000 0.5000
Zn 0.5000 0.5000 0.0000
Cd 0.5000 0.5000 0.5000

***

# KRb2ZnCd

A relaxed structure of KRb2ZnCd (PBE, Alexandria via LeMat-Bulk).

Summary:
* excess energy over the best structure of this formula in the dataset: 0.0000 eV/atom

Lattice parameters (Å, degrees): 7.1195 7.1195 5.2335 90.00 90.00 90.00
Element x y z (fractional)
K 0.0000 0.0000 0.0000
Rb 0.0000 0.5000 0.5000
Rb 0.5000 0.0000 0.5000
Zn 0.5000 0.5000 0.5000
Cd 0.5000 0.5000 0.0000

***

# KCdRe2

A relaxed structure of KCdRe2 (PBE, Alexandria via LeMat-Bulk).

Lattice parameters (Å, degrees): 6.3624 6.3624 6.3624 155.01 134.43 52.66
Element x y z (fractional)
K 0.0000 0.0000 0.0000
Cd 0.5000 0.5000 0.0000
Re 0.2755 0.7755 0.5000
Re 0.7245 0.2245 0.5000

***

# KCdRe2

A relaxed structure of KCdRe2 (PBE, Alexandria via LeMat-Bulk).

Lattice parameters (Å, degrees): 6.2741 6.2741 6.2741 151.24 126.90 61.51
Element x y z (fractional)
K 0.0000 0.0000 0.0000
Cd 0.7033 0.2033 0.5000
Re 0.2972 0.7972 0.5000
Re 0.4583 0.4583 0.0000

***

# KCdRe2

A relaxed structure of KCdRe2 (PBE, Alexandria via LeMat-Bulk).

Lattice parameters (Å, degrees): 2.8053 2.8053 10.8614 90.00 90.00 114.82
Element x y z (fractional)
K 0.0000 0.0000 0.0000
Cd 0.5000 0.5000 0.2962
Re 0.0000 0.0000 0.5360
Re 0.5000 0.5000 0.7300

***

# KCdRe

A relaxed structure of KCdRe (PBE, Alexandria via LeMat-Bulk).

Summary:
* excess energy over the best structure of this formula in the dataset: 0.0240 eV/atom

Lattice parameters (Å, degrees): 2.8709 6.5577 8.8765 90.00 99.20 90.00
Element x y z (fractional)
K 0.0000 0.0000 0.0000
K 0.1817 0.5000 0.3493
Cd 0.6974 0.0000 0.3883
Cd 0.9028 0.5000 0.8042
Re 0.3294 0.1730 0.6555
Re 0.3294 0.8270 0.6555

***

# KCdRe2

A relaxed structure of KCdRe2 (PBE, Alexandria via LeMat-Bulk).

Lattice parameters (Å, degrees): 5.9885 5.9885 2.6221 90.00 90.00 124.83
Element x y z (fractional)
K 0.0000 0.0000 0.0000
Cd 0.5000 0.5000 0.0000
Re 0.0000 0.5000 0.5000
Re 0.5000 0.0000 0.5000

***

# KCdRe2

A relaxed structure of KCdRe2 (PBE, Alexandria via LeMat-Bulk).

Lattice parameters (Å, degrees): 3.8883 3.8883 5.1400 90.00 90.00 90.00
Element x y z (fractional)
K 0.0000 0.0000 0.0000
Cd 0.5000 0.5000 0.0000
Re 0.0000 0.5000 0.5000
Re 0.5000 0.0000 0.5000

***

# KCd2Re

A relaxed structure of KCd2Re (PBE, Alexandria via LeMat-Bulk).

Summary:
* excess energy over the best structure of this formula in the dataset: 0.1380 eV/atom

Lattice parameters (Å, degrees): 2.7731 4.7347 8.1883 90.00 90.00 90.00
Element x y z (fractional)
K 0.0000 0.0000 0.0000
Cd 0.0000 0.0000 0.4114
Cd 0.5000 0.5000 0.6700
Re 0.5000 0.5000 0.3273

***

# KCdRe

A relaxed structure of KCdRe (PBE, Alexandria via LeMat-Bulk).

Summary:
* excess energy over the best structure of this formula in the dataset: 0.2716 eV/atom

Lattice parameters (Å, degrees): 2.8800 2.8800 8.6144 90.00 90.00 120.00
Element x y z (fractional)
K 0.0000 0.0000 0.0000
Cd 0.3333 0.6667 0.6305
Re 0.6667 0.3333 0.3377

***

# KCdRe

A relaxed structure of KCdRe (PBE, Alexandria via LeMat-Bulk).

Summary:
* excess energy over the best structure of this formula in the dataset: 0.2987 eV/atom

Lattice parameters (Å, degrees): 8.5522 8.5522 8.5522 161.30 161.30 26.57
Element x y z (fractional)
K 0.0000 0.0000 0.0000
Cd 0.3098 0.3098 0.0000
Re 0.6705 0.6705 0.0000

***

# KCdRe2

A relaxed structure of KCdRe2 (PBE, Alexandria via LeMat-Bulk).

Lattice parameters (Å, degrees): 2.6918 2.6918 10.6203 90.00 90.00 90.00
Element x y z (fractional)
K 0.0000 0.0000 0.0000
Cd 0.0000 0.0000 0.5000
Re 0.5000 0.5000 0.2781
Re 0.5000 0.5000 0.7219

***

# KCdRe2

A relaxed structure of KCdRe2 (PBE, Alexandria via LeMat-Bulk).

Lattice parameters (Å, degrees): 6.0663 6.0663 2.6907 99.17 99.17 125.11
Element x y z (fractional)
K 0.0000 0.0000 0.0000
Cd 0.5000 0.5000 0.0000
Re 0.0000 0.5000 0.5000
Re 0.5000 0.0000 0.5000

***

# KCdRe2

A relaxed structure of KCdRe2 (PBE, Alexandria via LeMat-Bulk).

Lattice parameters (Å, degrees): 10.7804 10.7804 10.7804 155.69 155.69 34.65
Element x y z (fractional)
K 0.0000 0.0000 0.0000
K 0.7500 0.2500 0.5000
Cd 0.2500 0.7500 0.5000
Cd 0.5000 0.5000 0.0000
Re 0.2965 0.1250 0.6715
Re 0.3750 0.7035 0.8285
Re 0.4535 0.6250 0.3285
Re 0.8750 0.5465 0.1715

***

# KCdRe2

A relaxed structure of KCdRe2 (PBE, Alexandria via LeMat-Bulk).

Lattice parameters (Å, degrees): 3.5939 3.5939 7.6071 90.00 90.00 90.00
Element x y z (fractional)
K 0.0000 0.0000 0.0000
Cd 0.0000 0.0000 0.5000
Re 0.5000 0.5000 0.3502
Re 0.5000 0.5000 0.6498

***

# KCdRe4

A relaxed structure of KCdRe4 (PBE, Alexandria via LeMat-Bulk).

Lattice parameters (Å, degrees): 5.3943 5.3943 5.3943 60.00 60.00 60.00
Element x y z (fractional)
K 0.0000 0.0000 0.0000
Cd 0.2500 0.2500 0.2500
Re 0.1257 0.6248 0.6248
Re 0.6248 0.1257 0.6248
Re 0.6248 0.6248 0.1257
Re 0.6248 0.6248 0.6248

***

# KCdRe

A relaxed structure of KCdRe (PBE, Alexandria via LeMat-Bulk).

Summary:
* excess energy over the best structure of this formula in the dataset: 0.3658 eV/atom

Lattice parameters (Å, degrees): 6.6858 6.6858 6.6858 156.86 138.02 48.48
Element x y z (fractional)
K 0.0000 0.0000 0.0000
Cd 0.2791 0.2791 0.0000
Re 0.7185 0.7185 0.0000

***

# KCd2Re

A relaxed structure of KCd2Re (PBE, Alexandria via LeMat-Bulk).

Summary:
* excess energy over the best structure of this formula in the dataset: 0.3841 eV/atom

Lattice parameters (Å, degrees): 5.0896 5.0896 5.0896 60.00 60.00 60.00
Element x y z (fractional)
K 0.0000 0.0000 0.0000
Cd 0.2500 0.2500 0.2500
Cd 0.7500 0.7500 0.7500
Re 0.5000 0.5000 0.5000

***

| no. | formation energy (kJ per mole of atoms) |
| --- | --- |
| 1 | 12 |
| 2 | 10 |
| 3 | 7 |
| 4 | 9 |
| 5 | 107 |
| 6 | 110 |
| 7 | 72 |
| 8 | 66 |
| 9 | 132 |
| 10 | 146 |
| 11 | 77 |
| 12 | 90 |
| 13 | 93 |
| 14 | 112 |
| 15 | 123 |
| 16 | 152 |
| 17 | 141 |
| 18 | 97 |
| 19 | 99 |
| 20 | 101 |